PmY7Er4: optimized geometry, GGA-PBE.

a b c (Å): 5.8551 11.6116 6.7005
angles (deg): 82.83 64.09 75.40
Element x y z (fractional)
Pm (0.0000, 0.0000, 0.0000)
Y (0.7894, 0.9224, 0.4988)
Y (0.2106, 0.0775, 0.5012)
Y (0.0580, 0.6723, 0.2116)
Y (0.9420, 0.3277, 0.7884)
Y (0.3646, 0.5041, 0.7667)
Y (0.5000, 0.0000, 0.0000)
Y (0.6354, 0.4959, 0.2333)
Er (0.6346, 0.2257, 0.5051)
Er (0.3654, 0.7743, 0.4949)
Er (0.7490, 0.6847, 0.8172)
Er (0.2510, 0.3153, 0.1828)

Results
Space-group type   C2/m
M_tot   0.0 μB per cell
N(E_F)   22.31 states/eV/cell
Polymorph energy (0 for the lowest one)   0.204 eV/atom
Density   6.02 g cm⁻³

=====

Pm2YEr3: optimized geometry, GGA-PBE.

a b c (Å): 3.5008 9.0677 12.9340
angles (deg): 78.01 82.22 78.87
Element x y z (fractional)
Pm (0.8196, 0.4788, 0.8820)
Pm (0.1804, 0.5212, 0.1180)
Pm (0.6568, 0.1553, 0.5311)
Pm (0.3432, 0.8447, 0.4689)
Y (0.4374, 0.4821, 0.6431)
Y (0.5626, 0.5179, 0.3569)
Er (0.0391, 0.1310, 0.7908)
Er (0.9609, 0.8690, 0.2092)
Er (0.5982, 0.8293, 0.9742)
Er (0.4018, 0.1707, 0.0258)
Er (0.7374, 0.8167, 0.7085)
Er (0.2626, 0.1833, 0.2915)

Results
Space-group type   C2/m
M_tot   0.0 μB per cell
N(E_F)   19.40 states/eV/cell
Polymorph energy (0 for the lowest one)   0.000 eV/atom
Density   7.46 g cm⁻³

=====

Pm5Y2Er3: optimized geometry, GGA-PBE.

a b c (Å): 9.9320 9.9320 9.9320
angles (deg): 113.02 123.48 93.29
Element x y z (fractional)
Pm (0.5000, 0.7500, 0.2500)
Pm (0.5000, 0.2500, 0.7500)
Pm (0.7516, 0.5016, 0.7500)
Pm (0.2484, 0.9984, 0.7500)
Pm (0.2484, 0.4984, 0.2500)
Pm (0.7516, 0.0016, 0.2500)
Pm (0.2753, 0.8735, 0.4018)
Pm (0.7247, 0.1265, 0.5982)
Pm (0.4717, 0.3735, 0.0982)
Pm (0.5283, 0.6265, 0.9018)
Y (0.9705, 0.8773, 0.0932)
Y (0.0295, 0.1227, 0.9068)
Y (0.7842, 0.3773, 0.4068)
Y (0.2158, 0.6227, 0.5932)
Er (0.0000, 0.7500, 0.7500)
Er (0.0000, 0.2500, 0.2500)
Er (0.8753, 0.6235, 0.2518)
Er (0.1247, 0.3765, 0.7482)
Er (0.3716, 0.1235, 0.2482)
Er (0.6284, 0.8765, 0.7518)

Results
Space-group type   Ibam
M_tot   0.0 μB per cell
N(E_F)   31.41 states/eV/cell
E   -4.645 eV/atom
Density   6.64 g cm⁻³